1.
Computed, not measured: crystalline LaZn4Pd6 at its relaxed geometry at the PBE-GGA level of DFT.

SG: I-42m, No. 121

Lattice parameters (Å, degrees): 6.6056 6.6056 6.6056 121.89 121.89 86.76
Element x y z (fractional)
1 La 0.0000 0.0000 0.0000
2 Zn 0.2538 0.5641 0.0000
3 Zn 0.4359 0.4359 0.6897
4 Zn 0.5641 0.2538 0.0000
5 Zn 0.7462 0.7462 0.3103
6 Pd 0.0000 0.5000 0.5000
7 Pd 0.1006 0.1006 0.5706
8 Pd 0.4700 0.8994 0.0000
9 Pd 0.5000 0.0000 0.5000
10 Pd 0.5300 0.5300 0.4294
11 Pd 0.8994 0.4700 0.0000



2.
Computed, not measured: crystalline Sr2YSc at its relaxed geometry at the PBE-GGA level of DFT.

Offset from the most stable computed form (meV/atom): 181.9
SG: Pmmm, No. 47

Lattice parameters (Å, degrees): 4.1412 5.9479 6.0954 90.00 90.00 90.00
Element x y z (fractional)
1 Sr 0.0000 0.0000 0.0000
2 Sr 0.5000 0.5000 0.0000
3 Y 0.0000 0.5000 0.5000
4 Sc 0.5000 0.0000 0.5000



Number 1: total energy -4.14 eV per atom. Number 2: total energy -3.71 eV per atom.